No. 1
The following is a GGA-PBE calculation of a relaxed structure of Ac3Pd7Rh2, from Alexandria via LeMat-Bulk.

Properties
electronic total energy: -70.50 eV/cell
symmetry: R-3m
calculated formation energy: -7.12 eV/f.u.
DOS at the Fermi energy: 1.053 states/eV/atom

a = 9.7092 Å, b = 9.7092 Å, c = 9.7092 Å
α = 33.05°, β = 33.05°, γ = 33.05°
Atoms (fractional coordinates):
Ac  0.0000  0.0000  0.0000
Ac  0.1376  0.1376  0.1376
Ac  0.8624  0.8624  0.8624
Pd  0.0800  0.5829  0.5829
Pd  0.4171  0.4171  0.9200
Pd  0.4171  0.9200  0.4171
Pd  0.5000  0.5000  0.5000
Pd  0.5829  0.0800  0.5829
Pd  0.5829  0.5829  0.0800
Pd  0.9200  0.4171  0.4171
Rh  0.3327  0.3327  0.3327
Rh  0.6673  0.6673  0.6673

No. 2
The following is a GGA-PBE calculation of a relaxed structure of AcPdRh, from Alexandria via LeMat-Bulk.

Properties
energy above the most stable polymorph in this dataset: 31.0 meV/atom
electronic total energy: -36.98 eV/cell
symmetry: Imma
calculated formation energy: -1.84 eV/f.u.
DOS at the Fermi energy: 0.783 states/eV/atom

a = 8.4436 Å, b = 8.4436 Å, c = 8.4436 Å
α = 150.43°, β = 150.40°, γ = 42.34°
Atoms (fractional coordinates):
Ac  0.3802  0.1302  0.2500
Ac  0.6198  0.8698  0.7500
Pd  0.2032  0.4532  0.7500
Pd  0.7968  0.5468  0.2500
Rh  0.0379  0.2879  0.7500
Rh  0.9621  0.7121  0.2500